Density functional theory data (PBE) for an optimized crystal structure of Ce3CrAg3S8.

Properties
Size of the total moment in Bohr magnetons per cell: 15.04
Fermi-level density of states in states/eV/f.u.: 14.7
Formation energy (no corrections) in eV/atom: -1.095

Lattice parameters (Å, degrees): 8.0524 8.0524 18.3242 90.00 90.00 120.00
Space group R-3m (No. 166, hexagonal axes)
Symmetry-distinct sites (fractional):
Ce (0.0000, 0.5000, 0.0000) (multiplicity 9)
Cr (0.0000, 0.0000, 0.0000) (multiplicity 3)
Ag (0.0000, 0.5000, 0.5000) (multiplicity 9)
S (0.0000, 0.0000, 0.2512) (multiplicity 6)
S (0.0349, 0.5175, 0.7417) (multiplicity 18)